A relaxed structure of KCaGaTe3, computed with PBE.

It has space group P2_1/m (No. 11), with a = 9.6941 Å, b = 4.4464 Å, c = 11.0773 Å, α = 90.00°, β = 108.32° and γ = 90.00°. The distinct sites, in fractional coordinates, are K at (0.2341, 0.2500, 0.2340), Ca at (0.3296, 0.7500, 0.8870), Ga at (0.0784, 0.2500, 0.6239), Te at (0.0767, 0.2500, 0.8563), Te at (0.1988, 0.7500, 0.5470) and Te at (0.4798, 0.7500, 0.1803).

The raw total energy comes out at -42.10 eV/cell.

---

A relaxed structure of PmHoPt4, computed with PBE.

It has space group F-43m (No. 216), with a = 7.7252 Å, b = 7.7252 Å, c = 7.7252 Å, α = 90.00°, β = 90.00° and γ = 90.00°. The distinct sites, in fractional coordinates, are Pm at (0.0000, 0.0000, 0.0000), Ho at (0.2500, 0.2500, 0.7500) and Pt at (0.1247, 0.1247, 0.3753).

The raw total energy comes out at -160.44 eV/cell. The energy relative to the elements is -1103 meV/atom.

---

A relaxed structure of Ta4GaFe, computed with PBE.

It has space group P4/mcc (No. 124), with a = 6.2467 Å, b = 6.2467 Å, c = 5.1023 Å, α = 90.00°, β = 90.00° and γ = 90.00°. The distinct sites, in fractional coordinates, are Ta at (0.1458, 0.3270, 0.0000), Ga at (0.5000, 0.5000, 0.2500) and Fe at (0.0000, 0.0000, 0.2500).

The raw total energy comes out at -120.10 eV/cell. The energy relative to the elements is -192 meV/atom.

---

What did the third record say?
A relaxed structure of Ta4GaFe, computed with PBE.

It has space group P4/mcc (No. 124), with a = 6.2467 Å, b = 6.2467 Å, c = 5.1023 Å, α = 90.00°, β = 90.00° and γ = 90.00°. The distinct sites, in fractional coordinates, are Ta at (0.1458, 0.3270, 0.0000), Ga at (0.5000, 0.5000, 0.2500) and Fe at (0.0000, 0.0000, 0.2500).

The raw total energy comes out at -120.10 eV/cell. The energy relative to the elements is -192 meV/atom.

---

> What is the raw total energy in the third record?

-120.10 eV/cell

---

> What is the raw total energy in the third record?

-120.10 eV/cell

---

> Among the records above, which one has the lowest raw total energy?

PmHoPt4